No. 1
A plane-wave DFT calculation with PBE-GGA was carried out for YMgAs2 after structural relaxation.

Cell: 7.064 6.467 3.719 Å, 90.00 90.12 90.00°
Space group C2/m (No. 12)
Inequivalent atoms, fractional coordinates:
Y  0.000  0.000  0.000 x2
Mg  0.000  0.500  0.000 x2
As  0.250  0.250  0.500 x4

ΔE_f in eV/f.u.: -2.96

***

No. 2
A plane-wave DFT calculation with PBE-GGA was carried out for Y2MgAs after structural relaxation.

Cell: 3.790 3.790 6.755 Å, 90.00 90.00 90.00°
Space group P4/mmm (No. 123)
Inequivalent atoms, fractional coordinates:
Y  0.000  0.000  0.233 x2
Mg  0.500  0.500  0.500 x1
As  0.500  0.500  0.000 x1

ΔE_f in eV/f.u.: -2.57

***

No. 3
A plane-wave DFT calculation with PBE-GGA was carried out for YMgAs2 after structural relaxation.

Cell: 3.894 3.162 7.563 Å, 90.00 103.05 90.00°
Space group P2/m (No. 10)
Inequivalent atoms, fractional coordinates:
Y  0.000  0.000  0.000 x1
Mg  0.000  0.000  0.500 x1
As  0.399  0.500  0.759 x2

ΔE_f in eV/f.u.: -2.73

***

No. 4
A plane-wave DFT calculation with PBE-GGA was carried out for YMgAs2 after structural relaxation.

Cell: 3.772 4.482 5.044 Å, 90.00 90.00 90.00°
Space group Pmmm (No. 47)
Inequivalent atoms, fractional coordinates:
Y  0.000  0.000  0.000 x1
Mg  0.000  0.500  0.500 x1
As  0.500  0.000  0.500 x1
As  0.500  0.500  0.000 x1

ΔE_f in eV/f.u.: -2.94

***

No. 5
A plane-wave DFT calculation with PBE-GGA was carried out for Y2MgAs after structural relaxation.

Cell: 3.588 3.588 7.985 Å, 90.00 90.00 90.00°
Space group P4mm (No. 99)
Inequivalent atoms, fractional coordinates:
Y  0.000  0.000  0.000 x1
Y  0.500  0.500  0.329 x1
Mg  0.500  0.500  0.725 x1
As  0.000  0.000  0.562 x1

ΔE_f in eV/f.u.: -1.56

***

No. 6
A plane-wave DFT calculation with PBE-GGA was carried out for Y4MgAs after structural relaxation.

Cell: 8.959 8.959 8.959 Å, 90.00 90.00 90.00°
Space group F-43m (No. 216)
Inequivalent atoms, fractional coordinates:
Y  0.125  0.125  0.125 x16
Mg  0.000  0.000  0.500 x4
As  0.250  0.250  0.750 x4

ΔE_f in eV/f.u.: 1.91

***

Q: Among the records above, which one has the lowest ΔE_f?
A: number 1